[1]
Density functional theory data (meta-GGA SCAN) for a crystal of Ba4ZrNb9O18 relaxed with PBEsol.

a = 5.9236 Å, b = 5.9236 Å, c = 13.0196 Å
α = 103.15°, β = 103.15°, γ = 90.00°
Positions (direct):
Ba 0.4153 0.9153 0.8307
Ba 0.9153 0.4153 0.8307
Ba 0.5847 0.0847 0.1693
Ba 0.0847 0.5847 0.1693
Zr 0.0000 0.0000 0.0000
Nb 0.8314 0.8314 0.6627
Nb 0.3316 0.3316 0.6632
Nb 0.1686 0.1686 0.3373
Nb 0.6684 0.6684 0.3368
Nb 0.5000 0.5000 0.5000
Nb 0.0000 0.0000 0.5000
Nb 0.5000 0.0000 0.5000
Nb 0.0000 0.5000 0.5000
Nb 0.5000 0.5000 0.0000
O 0.2548 0.2548 0.0000
O 0.7452 0.7452 0.0000
O 0.2548 0.7452 0.0000
O 0.7452 0.2548 0.0000
O 0.9168 0.9168 0.8336
O 0.4188 0.4188 0.8375
O 0.0832 0.0832 0.1664
O 0.5812 0.5812 0.1625
O 0.7500 0.2500 0.5000
O 0.2500 0.7500 0.5000
O 0.0860 0.0860 0.6719
O 0.5859 0.5859 0.6719
O 0.0860 0.5859 0.6719
O 0.5859 0.0860 0.6719
O 0.4141 0.4141 0.3281
O 0.9140 0.9140 0.3281
O 0.4141 0.9140 0.3281
O 0.9140 0.4141 0.3281

Properties
Space-group type: I4/mmm (139)
Calculated density (g/cm³): 6.8
Calculated total energy (eV for the cell shown): -689.4

[2]
Density functional theory data (meta-GGA SCAN) for a crystal of BaNbP2 relaxed with PBEsol.

a = 4.8795 Å, b = 4.8795 Å, c = 4.8795 Å
α = 60.00°, β = 60.00°, γ = 60.00°
Each line ends with the local moment (μB).
Positions (direct):
P 0.2500 0.2500 0.2500  -0.12
P 0.7500 0.7500 0.7500  -0.12
Nb 0.0000 0.0000 0.0000  1.53
Ba 0.5000 0.5000 0.5000  0.07

Properties
Space-group type: Fm-3m (225)
Calculated density (g/cm³): 5.9
Formation energy from the elements (eV per atom): -0.091

[3]
Density functional theory data (meta-GGA SCAN) for a crystal of Ba2NbPRu relaxed with PBEsol.

a = 4.4094 Å, b = 5.9528 Å, c = 5.9528 Å
α = 90.00°, β = 90.00°, γ = 90.00°
Each line ends with the local moment (μB).
Positions (direct):
Ru 0.0000 0.0000 0.0000  -0.07
Nb 0.5000 0.5000 0.5000  2.93
Ba 0.0000 0.0000 0.5000  0.10
Ba 0.0000 0.5000 0.0000  0.10
P 0.5000 0.0000 0.0000  -0.04

Properties
Space-group type: P4/mmm (123)
Calculated density (g/cm³): 5.3
Formation energy from the elements (eV per atom): 0.502

Which value of calculated density does entry 1 give? 6.8 g/cm³